1.
{
  "formula": "Pu6TeAs5",
  "functional": "GGA-PBE",
  "state": "relaxed",
  "cell": [[3.621, -6.269, 0.000], [3.621, 6.269, 0.000], [-2.409, 0.000, 6.829]],
  "species": ["Pu", "Pu", "Pu", "Pu", "Pu", "Pu", "As", "As", "As", "As", "As", "Te"],
  "frac_coords": [[0.738, 0.738, 0.255], [0.262, 0.262, 0.745], [0.914, 0.566, 0.741], [0.434, 0.086, 0.259], [0.566, 0.914, 0.741], [0.086, 0.434, 0.259], [0.160, 0.840, 0.500], [0.667, 0.333, 0.000], [0.333, 0.667, 0.000], [0.840, 0.160, 0.500], [0.500, 0.500, 0.500], [0.000, 0.000, 0.000]],
  "spacegroup": "C2/m (12)",
  "e_tot_ev_per_atom": -10.40
}



2.
{
  "formula": "PuTeAs",
  "functional": "GGA-PBE",
  "state": "relaxed",
  "cell": [[0.000, 3.546, 3.546], [3.546, 0.000, 3.546], [3.546, 3.546, 0.000]],
  "species": ["Pu", "Te", "As"],
  "frac_coords": [[0.250, 0.250, 0.250], [0.000, 0.000, 0.000], [0.500, 0.500, 0.500]],
  "spacegroup": "F-43m (216)",
  "e_tot_ev_per_atom": -7.82
}



3.
{
  "formula": "PuThAs",
  "functional": "GGA-PBE",
  "state": "relaxed",
  "cell": [[0.994, -4.455, 1.605], [-2.356, -3.811, -1.826], [2.322, -3.138, -2.857]],
  "species": ["Pu", "As", "Th"],
  "frac_coords": [[0.000, 0.000, 0.000], [0.500, 0.500, 0.500], [0.250, 0.250, 0.250]],
  "relative_energy_ev_per_fu": 2.04,
  "spacegroup": "F-43m (216)",
  "e_tot_ev_per_atom": -8.53
}